A geometry-optimized Pm4Cd2Sn3 structure. Source: the Alexandria database, functional GGA-PBE.

```
data_Pm4Cd2Sn3
_space_group_name_H-M_alt 'P 1'
_space_group_IT_number 1
_cell_length_a 5.914
_cell_length_b 5.914
_cell_length_c 10.903
_cell_angle_alpha 110.65
_cell_angle_beta 110.65
_cell_angle_gamma 46.92
loop_
_space_group_symop_operation_xyz
'x,y,z'
loop_
_atom_site_label
_atom_site_type_symbol
_atom_site_fract_x
_atom_site_fract_y
_atom_site_fract_z
Pm1 Pm 0.072 0.072 0.363
Pm2 Pm 0.362 0.362 0.101
Pm3 Pm 0.638 0.638 0.899
Pm4 Pm 0.928 0.928 0.637
Cd1 Cd 0.291 0.291 0.774
Cd2 Cd 0.709 0.709 0.226
Sn1 Sn 0.000 0.000 0.000
Sn2 Sn 0.370 0.370 0.400
Sn3 Sn 0.630 0.630 0.600
```

Output
Magnetization, Bohr magnetons per cell: 0.0
VASP energy, eV/cell: -37.2
ΔH_f (0 K), eV per formula unit: -4.35



A geometry-optimized Pm5CdSn6 structure. Source: the Alexandria database, functional GGA-PBE.

```
data_Pm5CdSn6
_space_group_name_H-M_alt 'P 1'
_space_group_IT_number 1
_cell_length_a 9.117
_cell_length_b 9.117
_cell_length_c 9.117
_cell_angle_alpha 149.33
_cell_angle_beta 119.55
_cell_angle_gamma 69.31
loop_
_space_group_symop_operation_xyz
'x,y,z'
loop_
_atom_site_label
_atom_site_type_symbol
_atom_site_fract_x
_atom_site_fract_y
_atom_site_fract_z
Pm1 Pm 0.000 0.000 0.000
Pm2 Pm 0.169 0.669 0.500
Pm3 Pm 0.354 0.354 0.000
Pm4 Pm 0.646 0.646 0.000
Pm5 Pm 0.831 0.331 0.500
Cd1 Cd 0.500 0.000 0.500
Sn1 Sn 0.076 0.829 0.247
Sn2 Sn 0.241 0.500 0.741
Sn3 Sn 0.418 0.171 0.247
Sn4 Sn 0.582 0.829 0.753
Sn5 Sn 0.759 0.500 0.259
Sn6 Sn 0.924 0.171 0.753
```

Output
Magnetization, Bohr magnetons per cell: 0.0
VASP energy, eV/cell: -56.0
ΔH_f (0 K), eV per formula unit: -7.31



A geometry-optimized Pm7CdSn5 structure. Source: the Alexandria database, functional GGA-PBE.

```
data_Pm7CdSn5
_space_group_name_H-M_alt 'P 1'
_space_group_IT_number 1
_cell_length_a 8.459
_cell_length_b 8.459
_cell_length_c 8.459
_cell_angle_alpha 135.19
_cell_angle_beta 96.30
_cell_angle_gamma 100.41
loop_
_space_group_symop_operation_xyz
'x,y,z'
loop_
_atom_site_label
_atom_site_type_symbol
_atom_site_fract_x
_atom_site_fract_y
_atom_site_fract_z
Pm1 Pm 0.000 0.000 0.000
Pm2 Pm 0.067 0.734 0.333
Pm3 Pm 0.368 0.368 0.000
Pm4 Pm 0.400 0.734 0.667
Pm5 Pm 0.510 0.010 0.500
Pm6 Pm 0.583 0.249 0.333
Pm7 Pm 0.916 0.249 0.667
Cd1 Cd 0.691 0.691 0.000
Sn1 Sn 0.246 0.238 0.509
Sn2 Sn 0.246 0.737 0.007
Sn3 Sn 0.730 0.238 0.993
Sn4 Sn 0.730 0.737 0.491
Sn5 Sn 0.993 0.493 0.500
```

Output
Magnetization, Bohr magnetons per cell: 0.0
VASP energy, eV/cell: -60.3
ΔH_f (0 K), eV per formula unit: -6.07



A geometry-optimized PmCdSn3 structure. Source: the Alexandria database, functional GGA-PBE.

```
data_PmCdSn3
_space_group_name_H-M_alt 'P 1'
_space_group_IT_number 1
_cell_length_a 5.937
_cell_length_b 5.937
_cell_length_c 5.987
_cell_angle_alpha 114.43
_cell_angle_beta 114.43
_cell_angle_gamma 66.36
loop_
_space_group_symop_operation_xyz
'x,y,z'
loop_
_atom_site_label
_atom_site_type_symbol
_atom_site_fract_x
_atom_site_fract_y
_atom_site_fract_z
Pm1 Pm 0.000 0.000 0.000
Cd1 Cd 0.500 0.500 0.500
Sn1 Sn 0.000 0.500 0.500
Sn2 Sn 0.500 0.000 0.500
Sn3 Sn 0.500 0.500 0.000
```

Output
Magnetization, Bohr magnetons per cell: 0.0
VASP energy, eV/cell: -17.6
ΔH_f (0 K), eV per formula unit: 0.04



A geometry-optimized Pm3CdSn structure. Source: the Alexandria database, functional GGA-PBE.

```
data_Pm3CdSn
_space_group_name_H-M_alt 'P 1'
_space_group_IT_number 1
_cell_length_a 4.382
_cell_length_b 6.744
_cell_length_c 10.876
_cell_angle_alpha 90.00
_cell_angle_beta 90.00
_cell_angle_gamma 90.00
loop_
_space_group_symop_operation_xyz
'x,y,z'
loop_
_atom_site_label
_atom_site_type_symbol
_atom_site_fract_x
_atom_site_fract_y
_atom_site_fract_z
Pm1 Pm 0.250 0.013 0.201
Pm2 Pm 0.250 0.250 0.573
Pm3 Pm 0.250 0.487 0.201
Pm4 Pm 0.750 0.513 0.799
Pm5 Pm 0.750 0.750 0.427
Pm6 Pm 0.750 0.987 0.799
Cd1 Cd 0.250 0.250 0.943
Cd2 Cd 0.750 0.750 0.057
Sn1 Sn 0.250 0.750 0.635
Sn2 Sn 0.750 0.250 0.365
```

Output
Magnetization, Bohr magnetons per cell: 0.0
VASP energy, eV/cell: -41.5
ΔH_f (0 K), eV per formula unit: -1.60



A geometry-optimized PmCdSn structure. Source: the Alexandria database, functional GGA-PBE.

```
data_PmCdSn
_space_group_name_H-M_alt 'P 1'
_space_group_IT_number 1
_cell_length_a 6.645
_cell_length_b 6.645
_cell_length_c 6.645
_cell_angle_alpha 148.27
_cell_angle_beta 148.27
_cell_angle_gamma 45.48
loop_
_space_group_symop_operation_xyz
'x,y,z'
loop_
_atom_site_label
_atom_site_type_symbol
_atom_site_fract_x
_atom_site_fract_y
_atom_site_fract_z
Pm1 Pm 0.000 0.000 0.000
Cd1 Cd 0.328 0.328 0.000
Sn1 Sn 0.680 0.680 0.000
```

Output
Magnetization, Bohr magnetons per cell: 0.0
VASP energy, eV/cell: -10.7
ΔH_f (0 K), eV per formula unit: -0.98